Entry 1:
# GGA-PBE OsPtCl, optimized geometry
data_OsPtCl
_symmetry_space_group_name_H-M 'P 1'
_symmetry_Int_Tables_number 1
_cell_length_a 2.915
_cell_length_b 2.915
_cell_length_c 6.639
_cell_angle_alpha 90.00
_cell_angle_beta 90.00
_cell_angle_gamma 120.00
loop_
_symmetry_equiv_pos_as_xyz
'x,y,z'
loop_
_atom_site_label
_atom_site_fract_x
_atom_site_fract_y
_atom_site_fract_z
_atom_site_occupancy
Os1 0.000 0.000 0.000 1
Pt1 0.667 0.333 0.310 1
Cl1 0.333 0.667 0.713 1
# Energy relative to the elements, uncorrected: 0.63 eV per atom
# Space group: P3m1 (156)
# Mass density: 14.31 g cm⁻³
# Magnetization: 0.00 μB per formula unit

Entry 2:
# GGA-PBE OsPtCl2, optimized geometry
data_OsPtCl2
_symmetry_space_group_name_H-M 'P 1'
_symmetry_Int_Tables_number 1
_cell_length_a 4.479
_cell_length_b 4.479
_cell_length_c 4.479
_cell_angle_alpha 60.00
_cell_angle_beta 60.00
_cell_angle_gamma 60.00
loop_
_symmetry_equiv_pos_as_xyz
'x,y,z'
loop_
_atom_site_label
_atom_site_fract_x
_atom_site_fract_y
_atom_site_fract_z
_atom_site_occupancy
Os1 0.000 0.000 0.000 1
Pt1 0.500 0.500 0.500 1
Cl1 0.250 0.250 0.250 1
Cl2 0.750 0.750 0.750 1
# Energy relative to the elements, uncorrected: 1.39 eV per atom
# Space group: Fm-3m (225)
# Mass density: 11.92 g cm⁻³
# Magnetization: 0.00 μB per formula unit

Entry 3:
# GGA-PBE Os2PtCl, optimized geometry
data_Os2PtCl
_symmetry_space_group_name_H-M 'P 1'
_symmetry_Int_Tables_number 1
_cell_length_a 2.728
_cell_length_b 4.729
_cell_length_c 4.823
_cell_angle_alpha 90.00
_cell_angle_beta 90.00
_cell_angle_gamma 90.00
loop_
_symmetry_equiv_pos_as_xyz
'x,y,z'
loop_
_atom_site_label
_atom_site_fract_x
_atom_site_fract_y
_atom_site_fract_z
_atom_site_occupancy
Os1 0.000 0.000 0.000 1
Os2 0.500 0.000 0.500 1
Pt1 0.000 0.500 0.500 1
Cl1 0.500 0.500 0.000 1
# Energy relative to the elements, uncorrected: 1.12 eV per atom
# Space group: Pmmm (47)
# Mass density: 16.31 g cm⁻³
# Magnetization: 0.00 μB per formula unit

Entry 4:
# GGA-PBE OsPtCl2, optimized geometry
data_OsPtCl2
_symmetry_space_group_name_H-M 'P 1'
_symmetry_Int_Tables_number 1
_cell_length_a 2.916
_cell_length_b 3.442
_cell_length_c 8.047
_cell_angle_alpha 90.00
_cell_angle_beta 90.53
_cell_angle_gamma 90.00
loop_
_symmetry_equiv_pos_as_xyz
'x,y,z'
loop_
_atom_site_label
_atom_site_fract_x
_atom_site_fract_y
_atom_site_fract_z
_atom_site_occupancy
Os1 0.000 0.000 0.000 1
Pt1 0.495 0.500 0.818 1
Cl1 0.005 0.500 0.194 1
Cl2 0.489 0.000 0.603 1
# Energy relative to the elements, uncorrected: 0.15 eV per atom
# Space group: Pm (6)
# Mass density: 9.38 g cm⁻³
# Magnetization: 0.00 μB per formula unit

Entry 5:
# GGA-PBE Os2PtCl, optimized geometry
data_Os2PtCl
_symmetry_space_group_name_H-M 'P 1'
_symmetry_Int_Tables_number 1
_cell_length_a 8.813
_cell_length_b 8.813
_cell_length_c 8.813
_cell_angle_alpha 18.44
_cell_angle_beta 18.44
_cell_angle_gamma 18.44
loop_
_symmetry_equiv_pos_as_xyz
'x,y,z'
loop_
_atom_site_label
_atom_site_fract_x
_atom_site_fract_y
_atom_site_fract_z
_atom_site_occupancy
Os1 0.248 0.248 0.248 1
Os2 0.752 0.752 0.752 1
Pt1 0.000 0.000 0.000 1
Cl1 0.500 0.500 0.500 1
# Energy relative to the elements, uncorrected: 0.75 eV per atom
# Space group: R-3m (166)
# Mass density: 16.96 g cm⁻³
# Magnetization: 0.00 μB per formula unit

Entry 6:
# GGA-PBE OsPtCl, optimized geometry
data_OsPtCl
_symmetry_space_group_name_H-M 'P 1'
_symmetry_Int_Tables_number 1
_cell_length_a 4.146
_cell_length_b 4.146
_cell_length_c 4.146
_cell_angle_alpha 60.00
_cell_angle_beta 60.00
_cell_angle_gamma 60.00
loop_
_symmetry_equiv_pos_as_xyz
'x,y,z'
loop_
_atom_site_label
_atom_site_fract_x
_atom_site_fract_y
_atom_site_fract_z
_atom_site_occupancy
Os1 0.000 0.000 0.000 1
Pt1 0.500 0.500 0.500 1
Cl1 0.750 0.750 0.750 1
# Energy relative to the elements, uncorrected: 1.70 eV per atom
# Space group: F-43m (216)
# Mass density: 13.87 g cm⁻³
# Magnetization: 0.00 μB per formula unit